[1]
A relaxed Er4Cu2HgOs crystal, computed with PBE.

```
data_Er4Cu2HgOs
_chemical_formula_sum 'Er4 Cu2 Hg1 Os1'
_cell_length_a 8.5485
_cell_length_b 8.5485
_cell_length_c 8.5485
_cell_angle_alpha 33.59
_cell_angle_beta 33.59
_cell_angle_gamma 33.59
_symmetry_space_group_name_H-M 'P 1'
_symmetry_Int_Tables_number 1
loop_
_symmetry_equiv_pos_as_xyz
'x,y,z'
loop_
_atom_site_label
_atom_site_type_symbol
_atom_site_fract_x
_atom_site_fract_y
_atom_site_fract_z
_atom_site_occupancy
Er1 Er 0.1174 0.1174 0.1174 1
Er2 Er 0.3687 0.3687 0.3687 1
Er3 Er 0.6313 0.6313 0.6313 1
Er4 Er 0.8826 0.8826 0.8826 1
Cu1 Cu 0.2479 0.2479 0.2479 1
Cu2 Cu 0.7521 0.7521 0.7521 1
Hg1 Hg 0.5000 0.5000 0.5000 1
Os1 Os 0.0000 0.0000 0.0000 1
```

## Properties
**Fermi-level density of states**: 4.709 states/eV per cell
**E_form**: -0.346 eV/atom
**DFT total energy**: -5.09 eV per atom

---

[2]
A relaxed ErPaCuHg crystal, computed with PBE.

```
data_ErPaCuHg
_chemical_formula_sum 'Er1 Pa1 Cu1 Hg1'
_cell_length_a 5.0914
_cell_length_b 5.0914
_cell_length_c 5.0914
_cell_angle_alpha 60.00
_cell_angle_beta 60.00
_cell_angle_gamma 60.00
_symmetry_space_group_name_H-M 'P 1'
_symmetry_Int_Tables_number 1
loop_
_symmetry_equiv_pos_as_xyz
'x,y,z'
loop_
_atom_site_label
_atom_site_type_symbol
_atom_site_fract_x
_atom_site_fract_y
_atom_site_fract_z
_atom_site_occupancy
Er1 Er 0.0000 0.0000 0.0000 1
Pa1 Pa 0.5000 0.5000 0.5000 1
Cu1 Cu 0.2500 0.2500 0.2500 1
Hg1 Hg 0.7500 0.7500 0.7500 1
```

## Properties
**Fermi-level density of states**: 8.013 states/eV per cell
**E_form**: 0.062 eV/atom
**DFT total energy**: -4.55 eV per atom

---

[3]
A relaxed ErPuCuHg crystal, computed with PBE.

```
data_ErPuCuHg
_chemical_formula_sum 'Er1 Pu1 Cu1 Hg1'
_cell_length_a 5.1224
_cell_length_b 5.1224
_cell_length_c 5.1224
_cell_angle_alpha 60.00
_cell_angle_beta 60.00
_cell_angle_gamma 60.00
_symmetry_space_group_name_H-M 'P 1'
_symmetry_Int_Tables_number 1
loop_
_symmetry_equiv_pos_as_xyz
'x,y,z'
loop_
_atom_site_label
_atom_site_type_symbol
_atom_site_fract_x
_atom_site_fract_y
_atom_site_fract_z
_atom_site_occupancy
Er1 Er 0.0000 0.0000 0.0000 1
Pu1 Pu 0.5000 0.5000 0.5000 1
Cu1 Cu 0.2500 0.2500 0.2500 1
Hg1 Hg 0.7500 0.7500 0.7500 1
```

## Properties
**Fermi-level density of states**: 10.147 states/eV per cell
**E_form**: -0.100 eV/atom
**DFT total energy**: -5.92 eV per atom

---

[4]
A relaxed ErCuHgRh crystal, computed with PBE.

```
data_ErCuHgRh
_chemical_formula_sum 'Er1 Cu1 Hg1 Rh1'
_cell_length_a 4.6996
_cell_length_b 4.6996
_cell_length_c 4.6996
_cell_angle_alpha 60.00
_cell_angle_beta 60.00
_cell_angle_gamma 60.00
_symmetry_space_group_name_H-M 'P 1'
_symmetry_Int_Tables_number 1
loop_
_symmetry_equiv_pos_as_xyz
'x,y,z'
loop_
_atom_site_label
_atom_site_type_symbol
_atom_site_fract_x
_atom_site_fract_y
_atom_site_fract_z
_atom_site_occupancy
Er1 Er 0.0000 0.0000 0.0000 1
Cu1 Cu 0.7500 0.7500 0.7500 1
Hg1 Hg 0.5000 0.5000 0.5000 1
Rh1 Rh 0.2500 0.2500 0.2500 1
```

## Properties
**Fermi-level density of states**: 2.290 states/eV per cell
**E_form**: -0.331 eV/atom
**DFT total energy**: -4.41 eV per atom

---

[5]
A relaxed Er4CuHgRu2 crystal, computed with PBE.

```
data_Er4CuHgRu2
_chemical_formula_sum 'Er4 Cu1 Hg1 Ru2'
_cell_length_a 8.5006
_cell_length_b 8.5006
_cell_length_c 8.5006
_cell_angle_alpha 33.50
_cell_angle_beta 33.50
_cell_angle_gamma 33.50
_symmetry_space_group_name_H-M 'P 1'
_symmetry_Int_Tables_number 1
loop_
_symmetry_equiv_pos_as_xyz
'x,y,z'
loop_
_atom_site_label
_atom_site_type_symbol
_atom_site_fract_x
_atom_site_fract_y
_atom_site_fract_z
_atom_site_occupancy
Er1 Er 0.1205 0.1205 0.1205 1
Er2 Er 0.3713 0.3713 0.3713 1
Er3 Er 0.6287 0.6287 0.6287 1
Er4 Er 0.8795 0.8795 0.8795 1
Cu1 Cu 0.0000 0.0000 0.0000 1
Hg1 Hg 0.5000 0.5000 0.5000 1
Ru1 Ru 0.2505 0.2505 0.2505 1
Ru2 Ru 0.7495 0.7495 0.7495 1
```

## Properties
**Fermi-level density of states**: 5.646 states/eV per cell
**E_form**: -0.381 eV/atom
**DFT total energy**: -5.53 eV per atom

---

[6]
A relaxed ErCuSnHg crystal, computed with PBE.

```
data_ErCuSnHg
_chemical_formula_sum 'Er1 Cu1 Sn1 Hg1'
_cell_length_a 4.9701
_cell_length_b 4.9701
_cell_length_c 4.9701
_cell_angle_alpha 60.00
_cell_angle_beta 60.00
_cell_angle_gamma 60.00
_symmetry_space_group_name_H-M 'P 1'
_symmetry_Int_Tables_number 1
loop_
_symmetry_equiv_pos_as_xyz
'x,y,z'
loop_
_atom_site_label
_atom_site_type_symbol
_atom_site_fract_x
_atom_site_fract_y
_atom_site_fract_z
_atom_site_occupancy
Er1 Er 0.0000 0.0000 0.0000 1
Cu1 Cu 0.7500 0.7500 0.7500 1
Sn1 Sn 0.5000 0.5000 0.5000 1
Hg1 Hg 0.2500 0.2500 0.2500 1
```

## Properties
**Fermi-level density of states**: 2.184 states/eV per cell
**E_form**: -0.216 eV/atom
**DFT total energy**: -3.46 eV per atom